LaSmTe2As2: relaxed, GGA-PBE.

uncorrected energy = -5.40 eV/atom

a b c (Å): 4.191 4.191 9.381
angles (deg): 90.00 90.00 90.00
Fractional positions:
As  0.500  0.000  0.995
Te  0.000  0.000  0.629
Te  0.500  0.500  0.381
Sm  0.500  0.500  0.745
As  0.000  0.500  0.995
La  0.000  0.000  0.255

---

NbFe6W: relaxed, GGA-PBE.

uncorrected energy = -9.03 eV/atom
E_form = 0.08 eV per atom

a b c (Å): 4.132 5.058 4.583
angles (deg): 90.00 90.00 90.00
Site moments in Bohr magnetons follow the coordinates.
Fractional positions:
Fe  0.000  0.748  0.358  1.20
Fe  0.000  0.000  0.802  -0.35
Fe  0.500  0.500  0.190  -0.29
Fe  0.500  0.258  0.647  1.12
Fe  0.500  0.742  0.647  1.13
W  0.000  0.500  0.866  -0.12
Fe  0.000  0.252  0.358  1.16
Nb  0.500  0.000  0.133  -0.12

---

TbNdB2Ir2N2: relaxed, GGA-PBE.

uncorrected energy = -8.26 eV/atom

a b c (Å): 3.779 3.779 7.532
angles (deg): 90.00 90.00 90.00
Fractional positions:
B  0.000  0.000  0.346
Tb  0.000  0.000  0.836
N  0.500  0.500  0.850
B  0.500  0.500  0.652
Nd  0.500  0.500  0.165
Ir  0.500  0.000  0.502
N  0.000  0.000  0.146
Ir  0.000  0.500  0.502